No. 1
Computed, not measured: an optimized crystal structure of TaPPtCl2 at the PBE-GGA level of DFT.

Magnetization ... 0.4338 μB per atom
Raw formation energy ... 0.954 eV/atom
Relative energy among the computed polymorphs ... 0.563 eV/atom
Space group ... P4/mmm

abc: 4.7024 4.7024 4.8481
angles: 90.00 90.00 90.00
Last column: nearest neighbours and their distance in Å.
Positions (direct):
Ta1 0.0000 0.0000 0.0000  4 P 3.33, 8 Cl 3.38
P1 0.5000 0.5000 0.0000  2 Pt 2.42
Pt1 0.5000 0.5000 0.5000  4 Cl 2.35, 2 P 2.42
Cl1 0.0000 0.5000 0.5000  2 Pt 2.35
Cl2 0.5000 0.0000 0.5000  2 Pt 2.35

***

No. 2
Computed, not measured: an optimized crystal structure of TaPPtCl2 at the PBE-GGA level of DFT.

Magnetization ... 0.0812 μB per atom
Raw formation energy ... 0.392 eV/atom
Relative energy among the computed polymorphs ... 0.000 eV/atom
Space group ... P4/mmm

abc: 4.6346 4.6346 5.1016
angles: 90.00 90.00 90.00
Last column: nearest neighbours and their distance in Å.
Positions (direct):
Ta1 0.0000 0.0000 0.0000  4 Cl 2.32, 2 P 2.55
P1 0.0000 0.0000 0.5000  2 Ta 2.55
Pt1 0.5000 0.5000 0.5000  4 P 3.28, 8 Cl 3.45
Cl1 0.0000 0.5000 0.0000  2 Ta 2.32
Cl2 0.5000 0.0000 0.0000  2 Ta 2.32

***

No. 3
Computed, not measured: an optimized crystal structure of TeP2PtCl at the PBE-GGA level of DFT.

Magnetization ... 0.0000 μB per atom
Raw formation energy ... 0.439 eV/atom
Relative energy among the computed polymorphs ... 0.000 eV/atom
Space group ... P4/mmm

abc: 4.7471 4.7471 4.8155
angles: 90.00 90.00 90.00
Last column: nearest neighbours and their distance in Å.
Positions (direct):
Te1 0.0000 0.0000 0.0000  4 Cl 3.36, 8 P 3.38
P1 0.0000 0.5000 0.5000  2 Pt 2.37
P2 0.5000 0.0000 0.5000  2 Pt 2.37
Pt1 0.5000 0.5000 0.5000  4 P 2.37, 2 Cl 2.41
Cl1 0.5000 0.5000 0.0000  2 Pt 2.41

***

No. 4
Computed, not measured: an optimized crystal structure of TiP2PtCl at the PBE-GGA level of DFT.

Magnetization ... 0.0002 μB per atom
Raw formation energy ... 0.565 eV/atom
Relative energy among the computed polymorphs ... 0.174 eV/atom
Space group ... P4/mmm

abc: 4.6634 4.6634 4.7970
angles: 90.00 90.00 90.00
Last column: nearest neighbours and their distance in Å.
Positions (direct):
Ti1 0.0000 0.0000 0.0000  4 Cl 3.30, 8 P 3.35
P1 0.0000 0.5000 0.5000  2 Pt 2.33
P2 0.5000 0.0000 0.5000  2 Pt 2.33
Pt1 0.5000 0.5000 0.5000  4 P 2.33, 2 Cl 2.40
Cl1 0.5000 0.5000 0.0000  2 Pt 2.40

***

No. 5
Computed, not measured: an optimized crystal structure of TiP2PtCl at the PBE-GGA level of DFT.

Magnetization ... 0.0000 μB per atom
Raw formation energy ... 0.391 eV/atom
Relative energy among the computed polymorphs ... 0.000 eV/atom
Space group ... P4/mmm

abc: 4.7829 4.7829 4.4396
angles: 90.00 90.00 90.00
Last column: nearest neighbours and their distance in Å.
Positions (direct):
Ti1 0.0000 0.0000 0.0000  2 Cl 2.22, 4 P 2.39
P1 0.0000 0.5000 0.0000  2 Ti 2.39
P2 0.5000 0.0000 0.0000  2 Ti 2.39
Pt1 0.5000 0.5000 0.5000  8 P 3.26, 4 Cl 3.38
Cl1 0.0000 0.0000 0.5000  2 Ti 2.22

***

No. 6
Computed, not measured: an optimized crystal structure of TiPPtCl2 at the PBE-GGA level of DFT.

Magnetization ... 0.0739 μB per atom
Raw formation energy ... 0.080 eV/atom
Relative energy among the computed polymorphs ... 0.000 eV/atom
Space group ... P4/mmm

abc: 4.4911 4.4911 5.2328
angles: 90.00 90.00 90.00
Last column: nearest neighbours and their distance in Å.
Positions (direct):
Ti1 0.0000 0.0000 0.0000  4 Cl 2.25
P1 0.0000 0.0000 0.5000  2 Ti 2.62
Pt1 0.5000 0.5000 0.5000  4 P 3.18, 8 Cl 3.45
Cl1 0.0000 0.5000 0.0000  2 Ti 2.25
Cl2 0.5000 0.0000 0.0000  2 Ti 2.25

***

What did the first record say?
Computed, not measured: an optimized crystal structure of TaPPtCl2 at the PBE-GGA level of DFT.

Magnetization ... 0.4338 μB per atom
Raw formation energy ... 0.954 eV/atom
Relative energy among the computed polymorphs ... 0.563 eV/atom
Space group ... P4/mmm

abc: 4.7024 4.7024 4.8481
angles: 90.00 90.00 90.00
Last column: nearest neighbours and their distance in Å.
Positions (direct):
Ta1 0.0000 0.0000 0.0000  4 P 3.33, 8 Cl 3.38
P1 0.5000 0.5000 0.0000  2 Pt 2.42
Pt1 0.5000 0.5000 0.5000  4 Cl 2.35, 2 P 2.42
Cl1 0.0000 0.5000 0.5000  2 Pt 2.35
Cl2 0.5000 0.0000 0.5000  2 Pt 2.35